{"formula": "DyCdInNi", "functional": "PBE-GGA", "state": "relaxed", "lattice": [[4.8539, 0.0000, 0.0000], [2.4269, 4.2036, 0.0000], [2.4269, 1.4012, 3.9632]], "species": ["In", "Cd", "Ni", "Dy"], "fractional_positions": [[0.0000, 0.0000, 0.0000], [0.7500, 0.7500, 0.7500], [0.2500, 0.2500, 0.2500], [0.5000, 0.5000, 0.5000]], "final_energy_ev_per_cell": -15.0, "total_magnetization_mub_per_atom": 0.000, "space_group": "No. 216", "delta_e_f_ev_per_atom": -0.2499, "n_ef_per_ev_atom": 0.638}

{"formula": "Ge3AuF", "functional": "PBE-GGA", "state": "relaxed", "lattice": [[5.0733, 0.0000, 0.0000], [0.0000, 5.0733, 0.0000], [0.0000, 0.0000, 5.0733]], "species": ["Ge", "Au", "Ge", "Ge", "F"], "fractional_positions": [[0.0000, 0.0000, 0.5000], [0.0000, 0.0000, 0.0000], [0.0000, 0.5000, 0.0000], [0.5000, 0.0000, 0.0000], [0.5000, 0.5000, 0.5000]], "relative_energy_mev_per_atom": 388.5, "final_energy_ev_per_cell": -17.0, "total_magnetization_mub_per_atom": 0.000, "raw_formation_energy_ev_per_atom": 0.407, "space_group": "No. 221", "n_ef_per_ev_atom": 1.132}

Result set for mass density: 9.2; 5.5 Mg/m³, one per record in the order listed.